1.
Here is a relaxed structure of Cs2CoH from Alexandria. Energies are from PBE.

Cell: 8.4630 8.4630 8.4630 Å, 90.00 90.00 90.00°
With the nearest neighbours (Å) after each atom.
Space group Fm-3m (No. 225)
Asymmetric unit:
Cs: 0.2500 0.2500 0.2500 (multiplicity 8)  4 H 3.66, 4 Co 3.66
Co: 0.0000 0.0000 0.0000 (multiplicity 4)  8 Cs 3.66
H: 0.0000 0.0000 0.5000 (multiplicity 4)  8 Cs 3.66

Output
VASP energy (eV per cell): -35.50

2.
Here is a relaxed structure of CsCoH3 from Alexandria. Energies are from PBE.

Cell: 3.9540 3.9540 3.9540 Å, 90.00 90.00 90.00°
With the nearest neighbours (Å) after each atom.
Space group Pm-3m (No. 221)
Asymmetric unit:
Cs: 0.0000 0.0000 0.0000 (multiplicity 1)  12 H 2.80
Co: 0.5000 0.5000 0.5000 (multiplicity 1)  6 H 1.98
H: 0.0000 0.5000 0.5000 (multiplicity 3)  2 Co 1.98

Output
VASP energy (eV per cell): -16.13

3.
Here is a relaxed structure of CsCo3H from Alexandria. Energies are from PBE.

Cell: 4.0343 4.0343 4.0343 Å, 90.00 90.00 90.00°
With the nearest neighbours (Å) after each atom.
Space group Pm-3m (No. 221)
Asymmetric unit:
Cs: 0.0000 0.0000 0.0000 (multiplicity 1)  12 Co 2.85
Co: 0.0000 0.5000 0.5000 (multiplicity 3)  2 H 2.02
H: 0.5000 0.5000 0.5000 (multiplicity 1)  6 Co 2.02

Output
VASP energy (eV per cell): -19.01

4.
Here is a relaxed structure of CsCo3H from Alexandria. Energies are from PBE.

Cell: 4.8675 4.8675 4.8675 Å, 90.00 90.00 90.00°
With the nearest neighbours (Å) after each atom.
Space group Pm-3m (No. 221)
Asymmetric unit:
Cs: 0.0000 0.0000 0.0000 (multiplicity 1)  6 Co 2.43
Co: 0.0000 0.0000 0.5000 (multiplicity 3)  2 Cs 2.43
H: 0.5000 0.5000 0.5000 (multiplicity 1)  12 Co 3.44

Output
VASP energy (eV per cell): -10.86